Record 1
P3Ir | PBE-GGA | relaxed

Unit cell a=3.1169 b=3.8118 c=6.1737 alpha=83.76 beta=86.36 gamma=67.69
Last column: nearest neighbours and their distance in Å.
Space group P1 (No. 1)
Asymmetric unit:
P1 0.0000 0.0000 0.0000  1 P 2.27, 3 Ir 2.36-2.43
P2 0.1234 0.7684 0.3553  3 P 2.18-2.27
P3 0.5322 0.9127 0.5833  2 P 2.18-2.20, 1 Ir 2.40
Ir1 0.3269 0.4189 0.8172  5 P 2.36-2.50

Summary:
V   16.9 Å³ per atom
Offset from the most stable computed form   2.22 eV per formula unit



Record 2
P3Ir | PBE-GGA | relaxed

Unit cell a=4.6782 b=4.6782 c=4.6782 alpha=90.00 beta=90.00 gamma=90.00
Last column: nearest neighbours and their distance in Å.
Space group Pm-3m (No. 221)
Asymmetric unit:
P1 0.0000 0.0000 0.5000  2 Ir 2.34
Ir1 0.0000 0.0000 0.0000  6 P 2.34

Summary:
V   25.6 Å³ per atom
Offset from the most stable computed form   6.95 eV per formula unit



Record 3
P2Ir | PBE-GGA | relaxed

Unit cell a=3.4212 b=4.0115 c=4.2429 alpha=77.79 beta=67.67 gamma=80.17
Last column: nearest neighbours and their distance in Å.
Space group P1 (No. 1)
Asymmetric unit:
P1 0.0000 0.0000 0.0000  1 P 2.18, 2 Ir 2.34-2.37
P2 0.2766 0.4511 0.6479  1 P 2.18, 2 Ir 2.32-2.43
Ir1 0.5661 0.5851 0.0503  6 P 2.32-2.56

Summary:
V   17.5 Å³ per atom



Record 4
PIr | PBE-GGA | relaxed

Unit cell a=10.1237 b=10.1237 c=3.7300 alpha=90.00 beta=90.00 gamma=90.00
Last column: nearest neighbours and their distance in Å.
Space group P4/m (No. 83)
Asymmetric unit:
P1 0.0921 0.6583 0.0000  4 Ir 2.28-2.40
P2 0.2330 0.3630 0.5000  4 Ir 2.26-2.45
Ir1 0.1187 0.4228 0.0000  4 P 2.28-2.40
Ir2 0.2102 0.6043 0.5000  4 P 2.26-2.45

Summary:
V   23.9 Å³ per atom



Record 5
P2Ir | PBE-GGA | relaxed

Unit cell a=5.7938 b=5.8367 c=5.8988 alpha=90.00 beta=111.30 gamma=90.00
Last column: nearest neighbours and their distance in Å.
Space group P2_1/c (No. 14)
Asymmetric unit:
P1 0.1578 0.1190 0.3709  1 P 2.23, 3 Ir 2.42-2.43
P2 0.3341 0.6236 0.6891  1 P 2.23, 3 Ir 2.34-2.36
Ir1 0.2717 0.5007 0.2918  6 P 2.34-2.43

Summary:
V   15.5 Å³ per atom



Record 6
P2Ir | PBE-GGA | relaxed

Unit cell a=4.8002 b=2.8711 c=7.1030 alpha=90.00 beta=90.00 gamma=90.00
Last column: nearest neighbours and their distance in Å.
Space group Amm2 (No. 38)
Asymmetric unit:
P1 0.2301 0.0000 0.0000  1 P 2.21, 3 Ir 2.41-2.46
Ir1 0.5000 0.0000 0.7136  6 P 2.41-2.46

Summary:
V   16.3 Å³ per atom



Record 7
P3Ir5 | PBE-GGA | relaxed

Unit cell a=6.6701 b=6.6701 c=6.5730 alpha=90.00 beta=90.00 gamma=120.00
Last column: nearest neighbours and their distance in Å.
Space group P6_3/mcm (No. 193)
Asymmetric unit:
P1 0.0000 0.3661 0.2500  3 Ir 2.20-2.26
Ir1 0.0000 0.3041 0.7500  3 P 2.20-2.26
Ir2 0.3333 0.6667 0.0000  6 P 2.68, 6 Ir 2.85

Summary:
V   15.8 Å³ per atom
Offset from the most stable computed form   0.00 eV per formula unit



Record 8
PIr | PBE-GGA | relaxed

Unit cell a=2.9729 b=3.6935 c=5.4125 alpha=90.00 beta=105.79 gamma=90.00
Last column: nearest neighbours and their distance in Å.
Space group P2_1/m (No. 11)
Asymmetric unit:
P1 0.1640 0.2500 0.3258  5 Ir 2.41-2.45
Ir1 0.3933 0.2500 0.7877  5 P 2.41-2.45

Summary:
V   14.3 Å³ per atom



Record 9
P2Ir | PBE-GGA | relaxed

Unit cell a=2.8715 b=2.8715 c=11.0702 alpha=90.00 beta=90.00 gamma=90.00
Last column: nearest neighbours and their distance in Å.
Space group I4/mmm (No. 139)
Asymmetric unit:
P1 0.0000 0.0000 0.1424  4 Ir 2.57, 4 P 2.87
Ir1 0.0000 0.0000 0.5000  8 P 2.57, 4 Ir 2.87

Summary:
V   15.2 Å³ per atom



Record 10
PIr | PBE-GGA | relaxed

Unit cell a=9.6034 b=9.6034 c=3.6729 alpha=90.00 beta=90.00 gamma=90.00
Last column: nearest neighbours and their distance in Å.
Space group I4/m (No. 87)
Asymmetric unit:
P1 0.0897 0.6976 0.0000  4 Ir 2.25-2.39
Ir1 0.1436 0.2817 0.0000  4 P 2.25-2.39

Summary:
V   21.2 Å³ per atom



Record 11
P7Ir6 | PBE-GGA | relaxed

Unit cell a=5.0306 b=5.0306 c=26.1777 alpha=90.00 beta=90.00 gamma=120.00
Last column: nearest neighbours and their distance in Å.
Space group R-3m (No. 166, hexagonal axes)
Asymmetric unit:
P1 0.0000 0.0000 0.0000  6 P 2.56
P2 0.0105 0.5052 0.5851  4 Ir 2.32-2.56, 5 P 2.44-2.59
Ir1 0.0000 0.0000 0.1842  3 P 2.32
Ir2 0.0000 0.0000 0.3235  3 P 2.40
Ir3 0.0000 0.0000 0.4339  6 P 2.56

Summary:
V   14.7 Å³ per atom



Record 12
P3Ir | PBE-GGA | relaxed

Unit cell a=5.5195 b=6.7575 c=3.0173 alpha=90.00 beta=90.00 gamma=90.00
Last column: nearest neighbours and their distance in Å.
Space group Cmmm (No. 65)
Asymmetric unit:
P1 0.0000 0.0000 0.0000  8 P 2.65, 2 Ir 2.76
P2 0.2500 0.2500 0.5000  4 Ir 2.65, 6 P 2.65-2.76
Ir1 0.0000 0.5000 0.0000  10 P 2.65-2.76

Summary:
V   14.1 Å³ per atom
Offset from the most stable computed form   4.55 eV per formula unit



For the records above, the corresponding formation energy values read -88, 1093, -40, -253, -715, -91, 77, -186, 178, -329, 432, 494 meV/atom.